[1]
Computed, not measured: a relaxed PmPrRh crystal at the PBE level of DFT.

a b c (Å): 4.1373 4.1373 6.4145
angles (deg): 90.00 90.00 120.00
Sites, in units of the cell vectors:
Pm: 0.0000 0.0000 0.0000
Pr: 0.6667 0.3333 0.5233
Rh: 0.3333 0.6667 0.7664

## Properties
energy: -6.073 eV/atom
ΔE to the lowest computed polymorph: 0.021 eV/atom

---

[2]
Computed, not measured: a relaxed Pm4PrRh2 crystal at the PBE level of DFT.

a b c (Å): 6.7005 7.6665 8.7668
angles (deg): 98.41 102.34 106.44
Sites, in units of the cell vectors:
Pm: 0.0000 0.0000 0.0000
Pm: 0.0036 0.4942 0.9788
Pm: 0.1412 0.6912 0.3994
Pm: 0.1902 0.1896 0.4201
Pm: 0.4430 0.5847 0.7767
Pm: 0.4582 0.0819 0.8029
Pm: 0.5255 0.4282 0.1471
Pm: 0.7949 0.3745 0.5534
Pr: 0.5259 0.9333 0.1846
Pr: 0.7903 0.8880 0.5822
Rh: 0.1026 0.7424 0.7455
Rh: 0.1189 0.2397 0.7660
Rh: 0.4725 0.5399 0.4496
Rh: 0.8619 0.2842 0.2176

## Properties
energy: -5.919 eV/atom
ΔE to the lowest computed polymorph: 0.000 eV/atom

---

[3]
Computed, not measured: a relaxed PmPrRh2 crystal at the PBE level of DFT.

a b c (Å): 5.0123 5.0123 5.0123
angles (deg): 60.00 60.00 60.00
Sites, in units of the cell vectors:
Pm: 0.0000 0.0000 0.0000
Pr: 0.5000 0.5000 0.5000
Rh: 0.2500 0.2500 0.2500
Rh: 0.7500 0.7500 0.7500

## Properties
energy: -6.697 eV/atom
ΔE to the lowest computed polymorph: 0.043 eV/atom

---

[4]
Computed, not measured: a relaxed PmPr2Sn3Rh4 crystal at the PBE level of DFT.

a b c (Å): 4.4569 4.4569 11.5093
angles (deg): 90.00 90.00 90.00
Sites, in units of the cell vectors:
Pm: 0.0000 0.0000 0.0000
Pr: 0.0000 0.5000 0.7291
Pr: 0.5000 0.0000 0.2709
Sn: 0.0000 0.5000 0.3758
Sn: 0.5000 0.0000 0.6242
Sn: 0.5000 0.5000 0.0000
Rh: 0.0000 0.0000 0.5000
Rh: 0.0000 0.5000 0.1495
Rh: 0.5000 0.0000 0.8505
Rh: 0.5000 0.5000 0.5000

## Properties
energy: -6.291 eV/atom

---

[5]
Computed, not measured: a relaxed Pm3Pr3Tl2Rh crystal at the PBE level of DFT.

a b c (Å): 8.9849 8.9849 3.9011
angles (deg): 90.00 90.00 120.00
Sites, in units of the cell vectors:
Pm: 0.0000 0.7611 0.0000
Pm: 0.2389 0.2389 0.0000
Pm: 0.7611 0.0000 0.0000
Pr: 0.0000 0.3995 0.5000
Pr: 0.3995 0.0000 0.5000
Pr: 0.6005 0.6005 0.5000
Tl: 0.3333 0.6667 0.0000
Tl: 0.6667 0.3333 0.0000
Rh: 0.0000 0.0000 0.5000

## Properties
energy: -4.893 eV/atom

---

[6]
Computed, not measured: a relaxed PmPrZnRh crystal at the PBE level of DFT.

a b c (Å): 5.1087 5.1087 5.1087
angles (deg): 60.00 60.00 60.00
Sites, in units of the cell vectors:
Pm: 0.0000 0.0000 0.0000
Pr: 0.5000 0.5000 0.5000
Zn: 0.2500 0.2500 0.2500
Rh: 0.7500 0.7500 0.7500

## Properties
energy: -5.008 eV/atom
ΔE to the lowest computed polymorph: 0.041 eV/atom

---

[7]
Computed, not measured: a relaxed PmPrZnRh crystal at the PBE level of DFT.

a b c (Å): 4.4548 5.8317 5.8317
angles (deg): 40.48 90.00 90.00
Sites, in units of the cell vectors:
Pm: 0.0000 0.0000 0.0000
Pr: 0.5000 0.2776 0.2776
Zn: 0.0000 0.7067 0.7067
Rh: 0.5000 0.5656 0.5656

## Properties
energy: -5.049 eV/atom
ΔE to the lowest computed polymorph: 0.000 eV/atom

---

[8]
Computed, not measured: a relaxed PmPr2Ru crystal at the PBE level of DFT.

a b c (Å): 7.4262 9.8633 6.4940
angles (deg): 90.00 90.00 90.00
Sites, in units of the cell vectors:
Pm: 0.0434 0.2500 0.1471
Pm: 0.4566 0.7500 0.6471
Pm: 0.5434 0.2500 0.3529
Pm: 0.9566 0.7500 0.8529
Pr: 0.1760 0.0673 0.6708
Pr: 0.1760 0.4327 0.6708
Pr: 0.3240 0.5673 0.1708
Pr: 0.3240 0.9327 0.1708
Pr: 0.6760 0.0673 0.8292
Pr: 0.6760 0.4327 0.8292
Pr: 0.8240 0.5673 0.3292
Pr: 0.8240 0.9327 0.3292
Ru: 0.1150 0.7500 0.4503
Ru: 0.3850 0.2500 0.9503
Ru: 0.6150 0.7500 0.0497
Ru: 0.8850 0.2500 0.5497

## Properties
energy: -6.077 eV/atom
ΔE to the lowest computed polymorph: 0.000 eV/atom

---

[9]
Computed, not measured: a relaxed Pm2PrRu2 crystal at the PBE level of DFT.

a b c (Å): 5.4657 4.4587 11.1440
angles (deg): 90.00 92.74 90.00
Sites, in units of the cell vectors:
Pm: 0.0872 0.2500 0.3743
Pm: 0.2369 0.7500 0.9826
Pm: 0.7631 0.2500 0.0174
Pm: 0.9128 0.7500 0.6257
Pr: 0.4318 0.2500 0.7353
Pr: 0.5682 0.7500 0.2647
Ru: 0.2954 0.2500 0.1437
Ru: 0.4146 0.7500 0.5135
Ru: 0.5854 0.2500 0.4865
Ru: 0.7046 0.7500 0.8563

## Properties
energy: -6.667 eV/atom

---

[10]
Computed, not measured: a relaxed PmPrRu crystal at the PBE level of DFT.

a b c (Å): 4.9297 4.9297 4.9297
angles (deg): 60.00 60.00 60.00
Sites, in units of the cell vectors:
Pm: 0.0000 0.0000 0.0000
Pr: 0.5000 0.5000 0.5000
Ru: 0.7500 0.7500 0.7500

## Properties
energy: -6.411 eV/atom
ΔE to the lowest computed polymorph: 0.006 eV/atom

---

[11]
Computed, not measured: a relaxed PmPrRu2 crystal at the PBE level of DFT.

a b c (Å): 4.9667 4.9667 4.9667
angles (deg): 60.00 60.00 60.00
Sites, in units of the cell vectors:
Pm: 0.0000 0.0000 0.0000
Pr: 0.5000 0.5000 0.5000
Ru: 0.2500 0.2500 0.2500
Ru: 0.7500 0.7500 0.7500

## Properties
energy: -7.077 eV/atom
ΔE to the lowest computed polymorph: 0.002 eV/atom

---

[12]
Computed, not measured: a relaxed PmPrRu4 crystal at the PBE level of DFT.

a b c (Å): 5.4251 5.4251 5.4251
angles (deg): 60.00 60.00 60.00
Sites, in units of the cell vectors:
Pm: 0.0000 0.0000 0.0000
Pr: 0.7500 0.7500 0.7500
Ru: 0.3749 0.3749 0.3749
Ru: 0.3749 0.3749 0.8754
Ru: 0.3749 0.8754 0.3749
Ru: 0.8754 0.3749 0.3749

## Properties
energy: -7.909 eV/atom

---

[13]
Computed, not measured: a relaxed PmPr2Ru crystal at the PBE level of DFT.

a b c (Å): 3.5527 3.5527 9.4021
angles (deg): 90.00 90.00 90.00
Sites, in units of the cell vectors:
Pm: 0.0000 0.0000 0.0000
Pr: 0.5000 0.5000 0.3167
Pr: 0.5000 0.5000 0.6833
Ru: 0.0000 0.0000 0.5000

## Properties
energy: -5.911 eV/atom
ΔE to the lowest computed polymorph: 0.166 eV/atom

---

[14]
Computed, not measured: a relaxed PmPr3Ru8 crystal at the PBE level of DFT.

a b c (Å): 9.4461 9.4461 9.4461
angles (deg): 33.44 33.44 33.44
Sites, in units of the cell vectors:
Pm: 0.0000 0.0000 0.0000
Pr: 0.3753 0.3753 0.3753
Pr: 0.5003 0.5003 0.5003
Pr: 0.8753 0.8753 0.8753
Ru: 0.1936 0.1936 0.1936
Ru: 0.4274 0.9435 0.9435
Ru: 0.4437 0.4437 0.9302
Ru: 0.4437 0.9302 0.4437
Ru: 0.6935 0.6935 0.6935
Ru: 0.9302 0.4437 0.4437
Ru: 0.9435 0.4274 0.9435
Ru: 0.9435 0.9435 0.4274

## Properties
energy: -7.891 eV/atom

---

[15]
Computed, not measured: a relaxed Pm3Pr5Ru2 crystal at the PBE level of DFT.

a b c (Å): 10.1935 10.1935 10.1935
angles (deg): 117.64 81.89 132.62
Sites, in units of the cell vectors:
Pm: 0.1276 0.7403 0.8679
Pm: 0.2500 0.2500 0.0000
Pm: 0.3724 0.2403 0.6128
Pm: 0.6276 0.7597 0.3872
Pm: 0.7500 0.7500 0.0000
Pm: 0.8724 0.2597 0.1321
Pr: 0.0034 0.7500 0.2534
Pr: 0.1193 0.2602 0.3795
Pr: 0.2500 0.7500 0.5000
Pr: 0.3807 0.7602 0.1410
Pr: 0.4966 0.7500 0.7466
Pr: 0.5034 0.2500 0.2534
Pr: 0.6193 0.2398 0.8590
Pr: 0.7500 0.2500 0.5000
Pr: 0.8807 0.7398 0.6205
Pr: 0.9966 0.2500 0.7466
Ru: 0.1301 0.9988 0.1289
Ru: 0.3699 0.4988 0.8688
Ru: 0.6301 0.5012 0.1312
Ru: 0.8699 0.0012 0.8711

## Properties
energy: -5.718 eV/atom

---

[16]
Computed, not measured: a relaxed Pm3Pr4Ru4 crystal at the PBE level of DFT.

a b c (Å): 9.8243 9.8243 9.8243
angles (deg): 158.65 124.97 59.70
Sites, in units of the cell vectors:
Pm: 0.0000 0.0000 0.0000
Pm: 0.4065 0.9065 0.5000
Pm: 0.5935 0.0935 0.5000
Pr: 0.0267 0.3356 0.6911
Pr: 0.3556 0.6644 0.6911
Pr: 0.6444 0.3356 0.3089
Pr: 0.9733 0.6644 0.3089
Ru: 0.2653 0.2653 0.0000
Ru: 0.2691 0.5000 0.7691
Ru: 0.7309 0.5000 0.2309
Ru: 0.7347 0.7347 0.0000

## Properties
energy: -6.499 eV/atom

---

[17]
Computed, not measured: a relaxed PmPr4Ru crystal at the PBE level of DFT.

a b c (Å): 9.6852 9.6852 6.1388
angles (deg): 108.46 108.46 46.61
Sites, in units of the cell vectors:
Pm: 0.1995 0.1995 0.1998
Pm: 0.8005 0.8005 0.8002
Pr: 0.1383 0.6331 0.3856
Pr: 0.2074 0.7926 0.0000
Pr: 0.3290 0.3290 0.8288
Pr: 0.3669 0.8617 0.6144
Pr: 0.6331 0.1383 0.3856
Pr: 0.6710 0.6710 0.1712
Pr: 0.7926 0.2074 0.0000
Pr: 0.8617 0.3669 0.6144
Ru: 0.4995 0.4995 0.2609
Ru: 0.5005 0.5005 0.7391

## Properties
energy: -5.548 eV/atom

---

[18]
Computed, not measured: a relaxed Pm2PrRu9 crystal at the PBE level of DFT.

a b c (Å): 9.3297 9.3297 9.3297
angles (deg): 33.19 33.19 33.19
Sites, in units of the cell vectors:
Pm: 0.1400 0.1400 0.1400
Pm: 0.8600 0.8600 0.8600
Pr: 0.0000 0.0000 0.0000
Ru: 0.0732 0.5862 0.5862
Ru: 0.3376 0.3376 0.3376
Ru: 0.4138 0.4138 0.9268
Ru: 0.4138 0.9268 0.4138
Ru: 0.5000 0.5000 0.5000
Ru: 0.5862 0.0732 0.5862
Ru: 0.5862 0.5862 0.0732
Ru: 0.6624 0.6624 0.6624
Ru: 0.9268 0.4138 0.4138

## Properties
energy: -8.181 eV/atom

---

[19]
Computed, not measured: a relaxed Pm8PrRu2 crystal at the PBE level of DFT.

a b c (Å): 8.2124 8.2124 5.7583
angles (deg): 95.92 95.92 115.45
Sites, in units of the cell vectors:
Pm: 0.0929 0.0929 0.7881
Pm: 0.1638 0.4235 0.4376
Pm: 0.2410 0.7590 0.0000
Pm: 0.4235 0.1638 0.4376
Pm: 0.5765 0.8362 0.5624
Pm: 0.7590 0.2410 0.0000
Pm: 0.8362 0.5765 0.5624
Pm: 0.9071 0.9071 0.2119
Pr: 0.5000 0.5000 0.0000
Ru: 0.2026 0.7974 0.5000
Ru: 0.7974 0.2026 0.5000

## Properties
energy: -5.611 eV/atom

---

[20]
Computed, not measured: a relaxed PmPrRu crystal at the PBE level of DFT.

a b c (Å): 5.5939 5.5939 8.2939
angles (deg): 90.00 90.00 120.00
Sites, in units of the cell vectors:
Pm: 0.0353 0.5176 0.0000
Pm: 0.4824 0.5176 0.6667
Pm: 0.4824 0.9647 0.3333
Pr: 0.3118 0.1559 0.0000
Pr: 0.8441 0.1559 0.6667
Pr: 0.8441 0.6882 0.3333
Ru: 0.1631 0.3261 0.3333
Ru: 0.1631 0.8369 0.6667
Ru: 0.6739 0.8369 0.0000

## Properties
energy: -6.120 eV/atom
ΔE to the lowest computed polymorph: 0.296 eV/atom

---

no.,ΔE_f (eV/atom),size of the total moment (μB/f.u.)
1,-0.446,0.00
2,-0.422,0.00
3,-0.639,0.00
4,-0.718,0.00
5,-0.373,0.00
6,-0.470,0.00
7,-0.510,0.00
8,-0.181,0.00
9,-0.101,0.00
10,-0.142,0.00
11,-0.057,0.00
12,-0.137,0.00
13,-0.015,0.00
14,-0.116,0.00
15,-0.048,0.00
16,-0.093,0.00
17,-0.024,0.00
18,-0.034,0.00
19,-0.035,0.00
20,0.148,0.00